Material: Al3CoRh
Method: DFT, meta-GGA SCAN
State: PBEsol geometry

```
data_Al3CoRh
_space_group_name_H-M_alt 'P m -3 m'
_space_group_IT_number 221
_space_group_name_Hall '-P 4 2 3'
_cell_length_a 4.283
_cell_length_b 4.283
_cell_length_c 4.283
_cell_angle_alpha 90.00
_cell_angle_beta 90.00
_cell_angle_gamma 90.00
loop_
_atom_site_label
_atom_site_type_symbol
_atom_site_fract_x
_atom_site_fract_y
_atom_site_fract_z
_atom_site_occupancy
Al1 Al 0.000 0.000 0.500 1
Co1 Co 0.000 0.000 0.000 1
Rh1 Rh 0.500 0.500 0.500 1
```

Calculated values
Volume, Å³/cell: 79
Size of the total moment, μB per formula unit: 0.000
Formation enthalpy at 0 K, eV per atom: 0.08
VASP energy, eV/f.u.: -73.95

---

Material: AlCoRh2
Method: DFT, meta-GGA SCAN
State: PBEsol geometry

```
data_AlCoRh2
_space_group_name_H-M_alt 'I m m m'
_space_group_IT_number 71
_space_group_name_Hall '-I 2 2'
_cell_length_a 2.848
_cell_length_b 4.375
_cell_length_c 8.273
_cell_angle_alpha 90.00
_cell_angle_beta 90.00
_cell_angle_gamma 90.00
loop_
_atom_site_label
_atom_site_type_symbol
_atom_site_fract_x
_atom_site_fract_y
_atom_site_fract_z
_atom_site_occupancy
Al1 Al 0.000 0.000 0.000 1
Co1 Co 0.000 0.000 0.500 1
Rh1 Rh 0.000 0.500 0.260 1
```

Calculated values
Volume, Å³/cell: 103
Size of the total moment, μB per formula unit: 2.090
Formation enthalpy at 0 K, eV per atom: -0.40
VASP energy, eV/f.u.: -94.21